# YFe2Cu (GGA-PBE, optimized geometry)
# Theoretical density   6.37 g/cm³
# ΔE_f   0.152 eV per atom
# Size of the total moment   12.17 μB per cell
data_YFe2Cu
_chemical_formula_sum 'Y3 Fe6 Cu3'
_symmetry_space_group_name_H-M 'P 1'
_symmetry_Int_Tables_number 1
_cell_length_a 4.126
_cell_length_b 4.126
_cell_length_c 14.010
_cell_angle_alpha 90.00
_cell_angle_beta 90.00
_cell_angle_gamma 120.00
loop_
_symmetry_equiv_pos_as_xyz
'x,y,z'
loop_
_atom_site_label
_atom_site_type_symbol
_atom_site_fract_x
_atom_site_fract_y
_atom_site_fract_z
_atom_site_occupancy
Y1 Y 0.000 0.000 0.000 1
Y2 Y 0.333 0.667 0.667 1
Y3 Y 0.667 0.333 0.333 1
Fe1 Fe 0.000 0.000 0.196 1
Fe2 Fe 0.000 0.000 0.804 1
Fe3 Fe 0.333 0.667 0.471 1
Fe4 Fe 0.333 0.667 0.863 1
Fe5 Fe 0.667 0.333 0.137 1
Fe6 Fe 0.667 0.333 0.529 1
Cu1 Cu 0.000 0.000 0.500 1
Cu2 Cu 0.333 0.667 0.167 1
Cu3 Cu 0.667 0.333 0.833 1